[1]
Density functional theory data (GGA-PBEsol) for crystalline Ca2GaC at its relaxed geometry.

Output
Space group: No. 225
E_form (eV/atom): 0.53
Density (g cm⁻³): 3.508

Cell lengths 4.768, 4.768, 4.768 Å; angles 60.00, 60.00, 60.00 degrees
Element x y z (fractional)
1 Ca 0.250 0.250 0.250
2 Ca 0.750 0.750 0.750
3 Ga 0.000 0.000 0.000
4 C 0.500 0.500 0.500

---

[2]
Density functional theory data (GGA-PBEsol) for crystalline SrZrCuP2 at its relaxed geometry.

Output
Space group: No. 123
E_form (eV/atom): 0.60
Density (g cm⁻³): 3.352

Cell lengths 4.891, 4.891, 6.303 Å; angles 90.00, 90.00, 90.00 degrees
Element x y z (fractional)
1 Sr 0.000 0.000 0.000
2 Zr 0.000 0.000 0.500
3 Cu 0.500 0.500 0.000
4 P 0.000 0.500 0.500
5 P 0.500 0.000 0.500

---

[3]
Density functional theory data (GGA-PBEsol) for crystalline MgBi2O5 at its relaxed geometry.

Output
Space group: No. 14
Density (g cm⁻³): 7.186
Uncorrected formation energy (kJ per mole of atoms): -133

Cell lengths 5.386, 11.209, 8.635 Å; angles 90.00, 112.17, 90.00 degrees
Element x y z (fractional)
1 Mg 0.078 0.089 0.149
2 Mg 0.078 0.411 0.649
3 Mg 0.922 0.589 0.351
4 Mg 0.922 0.911 0.851
5 Bi 0.272 0.590 0.031
6 Bi 0.272 0.910 0.531
7 Bi 0.450 0.130 0.873
8 Bi 0.450 0.370 0.373
9 Bi 0.550 0.630 0.627
10 Bi 0.550 0.870 0.127
11 Bi 0.728 0.090 0.469
12 Bi 0.728 0.410 0.969
13 O 0.031 0.515 0.163
14 O 0.031 0.985 0.663
15 O 0.160 0.733 0.462
16 O 0.160 0.767 0.962
17 O 0.248 0.002 0.011
18 O 0.248 0.498 0.511
19 O 0.431 0.171 0.270
20 O 0.431 0.329 0.770
21 O 0.499 0.076 0.627
22 O 0.499 0.424 0.127
23 O 0.501 0.576 0.873
24 O 0.501 0.924 0.373
25 O 0.569 0.671 0.230
26 O 0.569 0.829 0.730
27 O 0.752 0.502 0.489
28 O 0.752 0.998 0.989
29 O 0.840 0.233 0.038
30 O 0.840 0.267 0.538
31 O 0.969 0.015 0.337
32 O 0.969 0.485 0.837

---

[4]
Density functional theory data (GGA-PBEsol) for crystalline Cd4TeW at its relaxed geometry.

Output
Space group: No. 216
Density (g cm⁻³): 10.460
Uncorrected formation energy (kJ per mole of atoms): 72

Cell lengths 5.549, 5.549, 5.549 Å; angles 60.00, 60.00, 60.00 degrees
Element x y z (fractional)
1 Cd 0.124 0.124 0.124
2 Cd 0.124 0.124 0.628
3 Cd 0.124 0.628 0.124
4 Cd 0.628 0.124 0.124
5 Te 0.500 0.500 0.500
6 W 0.750 0.750 0.750

---

[5]
Density functional theory data (GGA-PBEsol) for crystalline Na3OsSe at its relaxed geometry.

Output
Space group: No. 221
Density (g cm⁻³): 3.647
Uncorrected formation energy (kJ per mole of atoms): 84

Cell lengths 5.360, 5.360, 5.360 Å; angles 90.00, 90.00, 90.00 degrees
Element x y z (fractional)
1 Na 0.000 0.000 0.500
2 Na 0.000 0.500 0.000
3 Na 0.500 0.000 0.000
4 Os 0.500 0.500 0.500
5 Se 0.000 0.000 0.000

---

[6]
Density functional theory data (GGA-PBEsol) for crystalline SbPPb at its relaxed geometry.

Output
Space group: No. 107
Density (g cm⁻³): 8.338
Distance to the lowest polymorph of the same formula (meV per atom): 0
Uncorrected formation energy (kJ per mole of atoms): 17

Cell lengths 6.093, 6.093, 6.093 Å; angles 145.65, 145.65, 49.37 degrees
Element x y z (fractional)
1 Sb 0.000 0.000 0.000
2 P 0.605 0.605 0.000
3 Pb 0.285 0.285 0.000

---

[7]
Density functional theory data (GGA-PBEsol) for crystalline BePt5 at its relaxed geometry.

Output
Space group: No. 65
E_form (eV/atom): -0.19
Density (g cm⁻³): 19.032
Distance to the lowest polymorph of the same formula (meV per atom): 86

Cell lengths 7.060, 7.060, 4.568 Å; angles 90.00, 90.00, 157.84 degrees
Element x y z (fractional)
1 Be 0.000 0.000 0.000
2 Pt 0.167 0.833 0.500
3 Pt 0.359 0.641 0.000
4 Pt 0.500 0.500 0.500
5 Pt 0.641 0.359 0.000
6 Pt 0.833 0.167 0.500

---

[8]
Density functional theory data (GGA-PBEsol) for crystalline Hf3P2 at its relaxed geometry.

Output
Space group: No. 62
E_form (eV/atom): -1.23
Density (g cm⁻³): 11.371

Cell lengths 10.080, 3.550, 9.751 Å; angles 90.00, 90.00, 90.00 degrees
Element x y z (fractional)
1 Hf 0.046 0.250 0.126
2 Hf 0.124 0.750 0.565
3 Hf 0.216 0.250 0.797
4 Hf 0.284 0.750 0.297
5 Hf 0.376 0.250 0.065
6 Hf 0.454 0.750 0.626
7 Hf 0.546 0.250 0.374
8 Hf 0.624 0.750 0.935
9 Hf 0.716 0.250 0.703
10 Hf 0.784 0.750 0.203
11 Hf 0.876 0.250 0.435
12 Hf 0.954 0.750 0.874
13 P 0.027 0.750 0.320
14 P 0.194 0.750 0.000
15 P 0.306 0.250 0.500
16 P 0.473 0.250 0.820
17 P 0.527 0.750 0.180
18 P 0.694 0.750 0.500
19 P 0.806 0.250 0.000
20 P 0.973 0.250 0.680

---

Record order is preserved below.
Total moment: 0.0 0.0 0.0 0.2 3.0 0.0 0.0 0.0 Bohr magnetons per cell
Record order is preserved below.
Electronic total energy: -3.787 -4.766 -5.942 -2.944 -3.186 -4.605 -6.660 -9.846 eV per atom